CsYHg3 | GGA-PBE | relaxed

Results
ΔE_f in meV per atom: -47

abc: 6.000 6.000 6.000
angles: 90.00 90.00 90.00
Positions (direct):
Cs 0.000 0.000 0.000
Y 0.500 0.500 0.500
Hg 0.000 0.500 0.500
Hg 0.500 0.000 0.500
Hg 0.500 0.500 0.000

=====

Pm2Tm3Pb2 | GGA-PBE | relaxed

Results
ΔE_f in meV per atom: -235

abc: 6.305 12.041 6.503
angles: 90.00 118.77 90.00
Positions (direct):
Pm 0.130 0.222 0.373
Pm 0.130 0.278 0.873
Pm 0.870 0.722 0.127
Pm 0.870 0.778 0.627
Tm 0.000 0.000 0.000
Tm 0.000 0.500 0.500
Tm 0.344 0.556 0.141
Tm 0.344 0.944 0.641
Tm 0.656 0.056 0.359
Tm 0.656 0.444 0.859
Pb 0.390 0.674 0.637
Pb 0.390 0.826 0.137
Pb 0.610 0.174 0.863
Pb 0.610 0.326 0.363

=====

La3Se3N | GGA-PBE | relaxed

Results
Formation energy from raw total energies in eV per atom: -1.93

abc: 7.634 13.128 9.345
angles: 90.00 126.41 90.00
Positions (direct):
La 0.182 0.070 0.251
La 0.182 0.430 0.751
La 0.197 0.083 0.668
La 0.197 0.417 0.168
La 0.271 0.711 0.276
La 0.271 0.789 0.776
La 0.729 0.211 0.224
La 0.729 0.289 0.724
La 0.803 0.583 0.832
La 0.803 0.917 0.332
La 0.818 0.570 0.249
La 0.818 0.930 0.749
Se 0.218 0.210 0.967
Se 0.218 0.290 0.467
Se 0.296 0.601 0.585
Se 0.296 0.899 0.085
Se 0.335 0.609 0.016
Se 0.335 0.891 0.516
Se 0.665 0.109 0.484
Se 0.665 0.391 0.984
Se 0.704 0.101 0.915
Se 0.704 0.399 0.415
Se 0.782 0.710 0.533
Se 0.782 0.790 0.033
N 0.034 0.569 0.153
N 0.034 0.931 0.653
N 0.966 0.069 0.347
N 0.966 0.431 0.847